Record 1
First-principles (PBE) data for an optimized crystal structure of Nd3SmTm6, as listed in Alexandria.

Properties
energy of formation from the pure elements: 65 kJ/mol of formula units
total energy: -4.5181 eV per atom
ΔE to the lowest computed polymorph: 0.0 meV/atom

The structure in CIF format:
```
data_Nd3SmTm6
_chemical_formula_sum 'Nd6 Sm2 Tm12'
_cell_length_a 12.9896
_cell_length_b 3.5206
_cell_length_c 14.2661
_cell_angle_alpha 90.00
_cell_angle_beta 100.24
_cell_angle_gamma 90.00
_symmetry_space_group_name_H-M 'P 1 21/m 1'
_symmetry_Int_Tables_number 11
loop_
_symmetry_equiv_pos_as_xyz
'x,y,z'
'-x,-y,-z'
'-x,y+1/2,-z'
'x,-y+1/2,z'
loop_
_atom_site_label
_atom_site_type_symbol
_atom_site_fract_x
_atom_site_fract_y
_atom_site_fract_z
Nd1 Nd 0.0753 0.2500 0.1005
Nd2 Nd 0.3716 0.7500 0.4957
Nd3 Nd 0.4211 0.2500 0.9019
Sm1 Sm 0.0410 0.2500 0.7204
Tm1 Tm 0.1195 0.2500 0.4863
Tm2 Tm 0.1942 0.7500 0.9258
Tm3 Tm 0.2209 0.7500 0.2866
Tm4 Tm 0.2710 0.7500 0.6998
Tm5 Tm 0.3452 0.2500 0.1229
Tm6 Tm 0.4991 0.7500 0.3091
```

Record 2
First-principles (PBE) data for an optimized crystal structure of Nd4Sm6Tm, as listed in Alexandria.

Properties
energy of formation from the pure elements: 121 kJ/mol of formula units
total energy: -4.6001 eV per atom
ΔE to the lowest computed polymorph: 0.0 meV/atom

The structure in CIF format:
```
data_Nd4Sm6Tm
_chemical_formula_sum 'Nd16 Sm24 Tm4'
_cell_length_a 5.9239
_cell_length_b 9.7546
_cell_length_c 25.8159
_cell_angle_alpha 90.00
_cell_angle_beta 90.00
_cell_angle_gamma 90.00
_symmetry_space_group_name_H-M 'C m c m'
_symmetry_Int_Tables_number 63
_symmetry_space_group_name_Hall '-C 2c 2'
loop_
_atom_site_label
_atom_site_type_symbol
_atom_site_fract_x
_atom_site_fract_y
_atom_site_fract_z
Nd1 Nd 0.0000 0.0503 0.1231
Nd2 Nd 0.0000 0.3536 0.0449
Sm1 Sm 0.0000 0.0000 0.0000
Sm2 Sm 0.0000 0.0523 0.2500
Sm3 Sm 0.0000 0.2958 0.6063
Sm4 Sm 0.0000 0.3804 0.1839
Tm1 Tm 0.0000 0.2857 0.7500
```

Record 3
First-principles (PBE) data for an optimized crystal structure of Nd2Sm5Tm4, as listed in Alexandria.

Properties
energy of formation from the pure elements: 187 kJ/mol of formula units
total energy: -4.4621 eV per atom
ΔE to the lowest computed polymorph: 154.7 meV/atom

The structure in CIF format:
```
data_Nd2Sm5Tm4
_chemical_formula_sum 'Nd4 Sm10 Tm8'
_cell_length_a 3.5167
_cell_length_b 9.0868
_cell_length_c 23.4394
_cell_angle_alpha 90.00
_cell_angle_beta 90.00
_cell_angle_gamma 90.00
_symmetry_space_group_name_H-M 'I m m m'
_symmetry_Int_Tables_number 71
_symmetry_space_group_name_Hall '-I 2 2'
loop_
_atom_site_label
_atom_site_type_symbol
_atom_site_fract_x
_atom_site_fract_y
_atom_site_fract_z
Nd1 Nd 0.0000 0.0000 0.2321
Sm1 Sm 0.0000 0.1979 0.3578
Sm2 Sm 0.0000 0.5000 0.0000
Tm1 Tm 0.0000 0.0000 0.0963
Tm2 Tm 0.0000 0.3155 0.5000
```

Record 4
First-principles (PBE) data for an optimized crystal structure of NdSm4Tm10, as listed in Alexandria.

Properties
energy of formation from the pure elements: 826 kJ/mol of formula units
total energy: -3.9869 eV per atom

The structure in CIF format:
```
data_NdSm4Tm10
_chemical_formula_sum 'Nd2 Sm8 Tm20'
_cell_length_a 12.8666
_cell_length_b 12.8666
_cell_length_c 6.4096
_cell_angle_alpha 90.00
_cell_angle_beta 90.00
_cell_angle_gamma 90.00
_symmetry_space_group_name_H-M 'I 4/m'
_symmetry_Int_Tables_number 87
_symmetry_space_group_name_Hall '-I 4'
loop_
_atom_site_label
_atom_site_type_symbol
_atom_site_fract_x
_atom_site_fract_y
_atom_site_fract_z
Nd1 Nd 0.0000 0.0000 0.0000
Sm1 Sm 0.0678 0.8277 0.5000
Tm1 Tm 0.0000 0.5000 0.2500
Tm2 Tm 0.1296 0.2925 0.2495
```

Record 5
First-principles (PBE) data for an optimized crystal structure of Nd2Sm2Tm3, as listed in Alexandria.

Properties
energy of formation from the pure elements: 127 kJ/mol of formula units
total energy: -4.4390 eV per atom
ΔE to the lowest computed polymorph: 67.3 meV/atom

The structure in CIF format:
```
data_Nd2Sm2Tm3
_chemical_formula_sum 'Nd4 Sm4 Tm6'
_cell_length_a 5.6244
_cell_length_b 23.9628
_cell_length_c 3.4214
_cell_angle_alpha 90.00
_cell_angle_beta 90.00
_cell_angle_gamma 90.00
_symmetry_space_group_name_H-M 'C m m m'
_symmetry_Int_Tables_number 65
_symmetry_space_group_name_Hall '-C 2 2'
loop_
_atom_site_label
_atom_site_type_symbol
_atom_site_fract_x
_atom_site_fract_y
_atom_site_fract_z
Nd1 Nd 0.0000 0.1405 0.0000
Sm1 Sm 0.0000 0.4245 0.5000
Tm1 Tm 0.0000 0.0000 0.0000
Tm2 Tm 0.0000 0.2896 0.0000
```

Record 6
First-principles (PBE) data for an optimized crystal structure of Nd3SmTm, as listed in Alexandria.

Properties
energy of formation from the pure elements: 90 kJ/mol of formula units
total energy: -4.5132 eV per atom
ΔE to the lowest computed polymorph: 117.7 meV/atom

The structure in CIF format:
```
data_Nd3SmTm
_chemical_formula_sum 'Nd12 Sm4 Tm4'
_cell_length_a 17.5816
_cell_length_b 6.8392
_cell_length_c 6.0931
_cell_angle_alpha 90.00
_cell_angle_beta 110.16
_cell_angle_gamma 90.00
_symmetry_space_group_name_H-M 'C 1 2/m 1'
_symmetry_Int_Tables_number 12
loop_
_symmetry_equiv_pos_as_xyz
'x,y,z'
'-x,-y,-z'
'-x,y,-z'
'x,-y,z'
'x+1/2,y+1/2,z'
'-x+1/2,-y+1/2,-z'
'-x+1/2,y+1/2,-z'
'x+1/2,-y+1/2,z'
loop_
_atom_site_label
_atom_site_type_symbol
_atom_site_fract_x
_atom_site_fract_y
_atom_site_fract_z
Nd1 Nd 0.1526 0.2324 0.4022
Nd2 Nd 0.2259 0.5000 0.9751
Sm1 Sm 0.0000 0.5000 0.0000
Sm2 Sm 0.0000 0.5000 0.5000
Tm1 Tm 0.0514 0.0000 0.8012
```

Record 7
First-principles (PBE) data for an optimized crystal structure of Nd6SmTm4, as listed in Alexandria.

Properties
energy of formation from the pure elements: 114 kJ/mol of formula units
total energy: -4.5484 eV per atom
ΔE to the lowest computed polymorph: 0.0 meV/atom

The structure in CIF format:
```
data_Nd6SmTm4
_chemical_formula_sum 'Nd24 Sm4 Tm16'
_cell_length_a 5.8379
_cell_length_b 9.7177
_cell_length_c 25.9486
_cell_angle_alpha 90.00
_cell_angle_beta 90.00
_cell_angle_gamma 90.00
_symmetry_space_group_name_H-M 'C m c m'
_symmetry_Int_Tables_number 63
_symmetry_space_group_name_Hall '-C 2c 2'
loop_
_atom_site_label
_atom_site_type_symbol
_atom_site_fract_x
_atom_site_fract_y
_atom_site_fract_z
Nd1 Nd 0.0000 0.0000 0.0000
Nd2 Nd 0.0000 0.0430 0.2500
Nd3 Nd 0.0000 0.3050 0.5989
Nd4 Nd 0.0000 0.3707 0.1811
Sm1 Sm 0.0000 0.2947 0.7500
Tm1 Tm 0.0000 0.0362 0.1239
Tm2 Tm 0.0000 0.3470 0.0442
```

Record 8
First-principles (PBE) data for an optimized crystal structure of Nd3SmTm3, as listed in Alexandria.

Properties
energy of formation from the pure elements: 14 kJ/mol of formula units
total energy: -4.6127 eV per atom
ΔE to the lowest computed polymorph: 0.0 meV/atom

The structure in CIF format:
```
data_Nd3SmTm3
_chemical_formula_sum 'Nd6 Sm2 Tm6'
_cell_length_a 9.6453
_cell_length_b 9.6453
_cell_length_c 5.7504
_cell_angle_alpha 90.00
_cell_angle_beta 90.00
_cell_angle_gamma 120.00
_symmetry_space_group_name_H-M 'P 63/m'
_symmetry_Int_Tables_number 176
_symmetry_space_group_name_Hall '-P 6c'
loop_
_atom_site_label
_atom_site_type_symbol
_atom_site_fract_x
_atom_site_fract_y
_atom_site_fract_z
Nd1 Nd 0.0507 0.2435 0.2500
Sm1 Sm 0.3333 0.6667 0.2500
Tm1 Tm 0.0955 0.4798 0.7500
```